# RbPmB

A relaxed RbPmB crystal (PBE, the Open Quantum Materials Database).

Geometry as POSCAR:
```
RbPmB
1.0
0.0000 3.4827 3.4827
3.4827 0.0000 3.4827
3.4827 3.4827 0.0000
Rb Pm B
1 1 1
Direct
0.0000 0.0000 0.0000
0.5000 0.5000 0.5000
0.7500 0.7500 0.7500
```

VASP energy: -3.020 eV per atom
V: 84 Å³/cell